No. 1
The following is a DFT calculation (PBE-GGA) of a geometry-optimized Pr8As4PSe3 structure.

POSCAR file:
```
Pr8As4PSe3
1.0
4.285 2.474 6.991
-4.285 2.474 6.991
0.000 -4.948 6.991
Pr As P Se
8 4 1 3
Cartesian
-2.189 -1.264 12.214
0.000 0.000 5.175
0.000 -2.528 8.759
-2.189 1.264 8.759
2.189 -1.264 12.214
0.000 2.528 12.214
0.000 0.000 15.798
2.189 1.264 8.759
-4.285 0.000 10.486
-2.143 1.237 3.495
2.143 1.237 3.495
0.000 0.000 10.486
0.000 0.000 0.000
-2.143 -1.237 6.991
-2.143 1.237 13.982
0.000 2.474 6.991
```

## Properties
**Formation energy (no corrections)**: -1.690 eV per atom
**Symmetry**: R-3m, No. 166
**Total magnetic moment**: 0.000 μB per formula unit
**N(E_F)**: 4.77 states/eV/f.u.
**Uncorrected energy**: -0.45814 Ry per atom

=====

No. 2
The following is a DFT calculation (PBE-GGA) of a geometry-optimized PrSmAsP structure.

POSCAR file:
```
PrSmAsP
1.0
4.215 0.000 0.000
0.000 4.215 0.000
0.000 0.000 5.946
Pr Sm As P
1 1 1 1
Cartesian
0.000 0.000 0.000
2.107 2.107 2.973
2.107 2.107 0.000
0.000 0.000 2.973
```

## Properties
**Symmetry**: P4/mmm, No. 123
**Total magnetic moment**: 0.000 μB per formula unit
**ΔE_f**: -1512 meV/atom
**N(E_F)**: 0.47 states/eV/f.u.
**Uncorrected energy**: -0.47050 Ry per atom

=====

No. 3
The following is a DFT calculation (PBE-GGA) of a geometry-optimized Pr6SnAs3P2 structure.

POSCAR file:
```
Pr6SnAs3P2
1.0
9.349 -2.145 0.000
9.349 2.145 0.000
-1.882 0.000 8.490
Pr Sn As P
6 1 3 2
Cartesian
-0.434 0.000 2.271
4.408 0.000 7.682
5.396 0.000 3.564
11.420 0.000 4.926
12.409 0.000 0.807
17.250 0.000 6.218
9.349 0.000 0.000
1.512 0.000 7.079
8.408 0.000 4.245
15.304 0.000 1.411
2.514 0.000 2.861
14.302 0.000 5.629
```

## Properties
**Symmetry**: C2/m, No. 12
**Total magnetic moment**: 0.000 μB per formula unit
**ΔE_f**: -1321 meV/atom
**N(E_F)**: 4.16 states/eV/f.u.
**Uncorrected energy**: -0.44898 Ry per atom

=====

No. 4
The following is a DFT calculation (PBE-GGA) of a geometry-optimized Pr6Te3AsP2 structure.

POSCAR file:
```
Pr6Te3AsP2
1.0
3.745 -6.482 0.000
3.745 6.482 0.000
-2.498 0.000 7.384
Pr Te As P
6 3 1 2
Cartesian
-0.023 2.198 5.785
1.206 0.000 1.590
-0.023 -2.198 5.785
5.014 2.198 1.599
3.786 0.000 5.794
5.014 -2.198 1.599
-1.249 0.000 3.692
2.496 2.137 3.692
2.496 -2.137 3.692
3.745 0.000 0.000
3.745 4.318 0.000
3.745 -4.318 0.000
```

## Properties
**Formation energy (no corrections)**: -1.560 eV per atom
**Symmetry**: C2/m, No. 12
**Total magnetic moment**: 0.000 μB per formula unit
**N(E_F)**: 5.28 states/eV/f.u.
**Uncorrected energy**: -0.44280 Ry per atom